A plane-wave DFT calculation with PBE-GGA was carried out for a relaxed structure of TiPdRuC2.

Calculated values
As for the total energy: -6.249 eV per atom. As for the volume: 76.6 Å³/cell. Its formation energy is 185 kJ per mole of atoms.

a b c (Å): 3.8118 3.8118 5.2750
angles (deg): 90.00 90.00 90.00
Element x y z (fractional)
Ti1 0.0000 0.0000 0.0000
Pd1 0.5000 0.5000 0.5000
Ru1 0.5000 0.5000 0.0000
C1 0.0000 0.5000 0.5000
C2 0.5000 0.0000 0.5000